Record 1
Material: ScZn2Pt
Method: DFT, PBEsol
State: relaxed

* calculated total energy: -4.75 eV per atom
* ΔE_f: -12.98 kcal/mol of atoms

Cell: 3.2512 3.3061 5.9185 Å, 90.00 90.00 90.00°
With the nearest neighbours (Å) after each atom.
Space group Pmm2 (No. 25)
Inequivalent atoms, fractional coordinates:
Sc  0.0000  0.0000  0.0000 (multiplicity 1)  4 Pt 2.73, 6 Zn 2.90-3.02
Zn  0.0000  0.0000  0.5104 (multiplicity 1)  4 Zn 2.64, 4 Pt 2.74, 1 Sc 2.90
Zn  0.5000  0.5000  0.2964 (multiplicity 1)  4 Zn 2.64, 1 Pt 2.73, 4 Sc 2.91
Pt  0.5000  0.5000  0.7578 (multiplicity 1)  4 Sc 2.73, 5 Zn 2.73-2.74

---

Record 2
Material: ScZn2Pt2
Method: DFT, PBEsol
State: relaxed

* calculated total energy: -5.45 eV per atom
* ΔE_f: -16.35 kcal/mol of atoms

Cell: 3.5489 3.5489 12.9326 Å, 90.00 90.00 90.00°
With the nearest neighbours (Å) after each atom.
Space group I4/mmm (No. 139)
Inequivalent atoms, fractional coordinates:
Sc  0.0000  0.0000  0.0000 (multiplicity 2)  8 Pt 2.84
Zn  0.0000  0.5000  0.2500 (multiplicity 4)  4 Zn 2.51, 4 Pt 2.61
Pt  0.0000  0.0000  0.3975 (multiplicity 4)  4 Zn 2.61, 1 Pt 2.65, 4 Sc 2.84

---

Record 3
Material: ScZn2Pt
Method: DFT, PBEsol
State: relaxed

* calculated total energy: -4.87 eV per atom
* ΔE_f: -15.84 kcal/mol of atoms

Cell: 4.3711 4.3711 6.2614 Å, 90.00 90.00 90.00°
With the nearest neighbours (Å) after each atom.
Space group I4/mmm (No. 139)
Inequivalent atoms, fractional coordinates:
Sc  0.0000  0.0000  0.0000 (multiplicity 2)  8 Zn 2.69
Zn  0.0000  0.5000  0.2500 (multiplicity 4)  4 Sc 2.69, 4 Pt 2.69
Pt  0.0000  0.0000  0.5000 (multiplicity 2)  8 Zn 2.69

---

Record 4
Material: ScZnPt2
Method: DFT, PBEsol
State: relaxed

* calculated total energy: -6.45 eV per atom
* ΔE_f: -21.19 kcal/mol of atoms

Cell: 3.8101 3.8101 8.4602 Å, 90.00 90.00 90.00°
With the nearest neighbours (Å) after each atom.
Space group I-4m2 (No. 119)
Inequivalent atoms, fractional coordinates:
Sc  0.0000  0.0000  0.0000 (multiplicity 2)  8 Pt 2.69-2.85, 4 Zn 2.85
Zn  0.0000  0.5000  0.7500 (multiplicity 2)  8 Pt 2.69-2.85, 4 Sc 2.85
Pt  0.0000  0.0000  0.5000 (multiplicity 2)  4 Sc 2.69, 4 Pt 2.85, 4 Zn 2.85
Pt  0.0000  0.5000  0.2500 (multiplicity 2)  4 Zn 2.69, 4 Pt 2.85, 4 Sc 2.85